# Rb3Sc2SnTe6

A relaxed structure of Rb3Sc2SnTe6 (PBE, the Alexandria database).

a b c (Å): 7.652 7.652 8.864
angles (deg): 98.27 98.27 120.03
Atoms (fractional coordinates):
Rb 0.000 0.000 0.000
Rb 0.336 0.664 0.000
Rb 0.664 0.336 0.000
Sc 0.167 0.833 0.500
Sc 0.833 0.167 0.500
Sn 0.500 0.500 0.500
Te 0.092 0.436 0.309
Te 0.218 0.218 0.689
Te 0.436 0.092 0.309
Te 0.564 0.908 0.691
Te 0.782 0.782 0.311
Te 0.908 0.564 0.691

- Total magnetization: 0.00 μB/f.u.
- Uncorrected energy: -4.200 eV per atom
- Formation energy without anion corrections: -999 meV/atom
- Density of states at the Fermi level: 0.30 states/eV per atom
- Symmetry: No. 12


# Sr2Fe2Ge2N

A relaxed structure of Sr2Fe2Ge2N (PBE, the Alexandria database).

a b c (Å): 5.943 5.943 7.277
angles (deg): 124.04 124.04 40.07
Atoms (fractional coordinates):
Sr 0.056 0.056 0.298
Sr 0.944 0.944 0.702
Fe 0.320 0.320 0.925
Fe 0.680 0.680 0.075
Ge 0.311 0.311 0.245
Ge 0.689 0.689 0.755
N 0.500 0.500 0.000

- Total magnetization: 0.00 μB/f.u.
- Uncorrected energy: -5.921 eV per atom
- Formation energy without anion corrections: -514 meV/atom
- Density of states at the Fermi level: 0.41 states/eV per atom
- Symmetry: No. 12


# Nd5HoS6

A relaxed structure of Nd5HoS6 (PBE, the Alexandria database).

a b c (Å): 7.006 7.006 6.991
angles (deg): 99.66 99.66 120.10
Atoms (fractional coordinates):
Nd 0.000 0.000 0.000
Nd 0.168 0.832 0.500
Nd 0.329 0.671 0.000
Nd 0.671 0.329 0.000
Nd 0.832 0.168 0.500
Ho 0.500 0.500 0.500
S 0.096 0.419 0.257
S 0.259 0.259 0.746
S 0.419 0.096 0.257
S 0.581 0.904 0.743
S 0.741 0.741 0.254
S 0.904 0.581 0.743

- Total magnetization: 0.00 μB/f.u.
- Uncorrected energy: -6.450 eV per atom
- Formation energy without anion corrections: -2018 meV/atom
- Density of states at the Fermi level: 0.38 states/eV per atom
- Symmetry: No. 12


# La2Ce2CN2

A relaxed structure of La2Ce2CN2 (PBE, the Alexandria database).

a b c (Å): 7.120 7.120 6.262
angles (deg): 113.93 113.93 29.75
Atoms (fractional coordinates):
La 0.126 0.126 0.289
La 0.874 0.874 0.711
Ce 0.364 0.364 0.179
Ce 0.636 0.636 0.821
C 0.500 0.500 0.000
N 0.239 0.239 0.770
N 0.761 0.761 0.230

- Total magnetization: 1.82 μB/f.u.
- Uncorrected energy: -7.571 eV per atom
- Formation energy without anion corrections: -771 meV/atom
- Density of states at the Fermi level: 1.05 states/eV per atom
- Symmetry: No. 12


# IrW2Br

A relaxed structure of IrW2Br (PBE, the Alexandria database).

a b c (Å): 9.525 9.525 9.525
angles (deg): 17.61 17.61 17.61
Atoms (fractional coordinates):
Ir 0.000 0.000 0.000
W 0.492 0.492 0.492
W 0.739 0.739 0.739
Br 0.230 0.230 0.230

- Total magnetization: 0.00 μB/f.u.
- Uncorrected energy: -8.620 eV per atom
- Formation energy without anion corrections: 491 meV/atom
- Polymorph energy (0 for the lowest one): 0.00 kJ per mole of atoms
- Density of states at the Fermi level: 1.17 states/eV per atom
- Symmetry: No. 160


# Cr2CdRu

A relaxed structure of Cr2CdRu (PBE, the Alexandria database).

a b c (Å): 5.078 5.078 5.078
angles (deg): 144.93 129.25 63.18
Atoms (fractional coordinates):
Cr 0.234 0.234 0.000
Cr 0.766 0.766 0.000
Cd 0.500 0.000 0.500
Ru 0.000 0.500 0.500

- Total magnetization: 0.00 μB/f.u.
- Uncorrected energy: -6.832 eV per atom
- Formation energy: 12.2 kcal/mol of atoms
- Density of states at the Fermi level: 1.46 states/eV per atom
- Symmetry: No. 71


# SbWSe2

A relaxed structure of SbWSe2 (PBE, the Alexandria database).

a b c (Å): 10.889 10.889 10.889
angles (deg): 17.20 17.20 17.20
Atoms (fractional coordinates):
Sb 0.000 0.000 0.000
W 0.500 0.500 0.500
Se 0.112 0.112 0.112
Se 0.888 0.888 0.888

- Total magnetization: 0.00 μB/f.u.
- Uncorrected energy: -6.080 eV per atom
- Formation energy without anion corrections: -69 meV/atom
- Density of states at the Fermi level: 0.41 states/eV per atom
- Symmetry: No. 166


# TbPmNdTh

A relaxed structure of TbPmNdTh (PBE, the Alexandria database).

a b c (Å): 5.744 5.744 5.744
angles (deg): 60.00 60.00 60.00
Atoms (fractional coordinates):
Tb 0.000 0.000 0.000
Pm 0.500 0.500 0.500
Nd 0.250 0.250 0.250
Th 0.750 0.750 0.750

- Total magnetization: 0.00 μB/f.u.
- Uncorrected energy: -5.221 eV per atom
- Polymorph energy (0 for the lowest one): 14.00 kJ per mole of atoms
- Formation energy: 4.0 kcal/mol of atoms
- Density of states at the Fermi level: 2.16 states/eV per atom
- Symmetry: No. 216


- Which of these has the lowest density of states at the Fermi level?
  Rb3Sc2SnTe6